The following is a PBE calculation of Tb2PrTe after structural relaxation, from the Alexandria database.

Geometry as POSCAR:
```
Tb2PrTe
1.0
-3.110 2.538 0.098
0.523 -2.757 5.832
6.091 7.352 2.929
Tb Pr Te
4 2 2
direct
0.363 0.727 0.535
0.637 0.273 0.465
0.363 0.727 0.965
0.637 0.273 0.035
0.945 0.890 0.250
0.055 0.110 0.750
0.769 0.539 0.750
0.231 0.461 0.250
```

crystal system	orthorhombic
E above lowest polymorph	0.00	eV per formula unit
space group	Cmcm, No. 63
uncorrected formation energy	-0.672	eV per atom